<one>
# PrRePO (GGA-PBE, optimized geometry)
# Volume ... 17.6 Å³ per atom
# Magnetization ... 0.01 Bohr magnetons per cell
# Crystal system ... orthorhombic
data_PrRePO
_cell_length_a 3.970
_cell_length_b 5.213
_cell_length_c 6.806
_cell_angle_alpha 90.00
_cell_angle_beta 90.00
_cell_angle_gamma 90.00
_space_group_name_H-M_alt 'P m c 21'
_space_group_IT_number 26
loop_
_space_group_symop_operation_xyz
'x,y,z'
'-x,-y,z+1/2'
'-x,y,z'
'x,-y,z+1/2'
loop_
_atom_site_label
_atom_site_type_symbol
_atom_site_fract_x
_atom_site_fract_y
_atom_site_fract_z
_atom_site_occupancy
Pr1 Pr 0.000 0.241 0.000 1
Re1 Re 0.500 0.259 0.372 1
P1 P 0.500 0.113 0.684 1
O1 O 0.000 0.358 0.343 1

<two>
# PrRePO (GGA-PBE, optimized geometry)
# Volume ... 16.2 Å³ per atom
# Magnetization ... 0.50 Bohr magnetons per cell
# Crystal system ... tetragonal
data_PrRePO
_cell_length_a 4.294
_cell_length_b 4.294
_cell_length_c 7.030
_cell_angle_alpha 90.00
_cell_angle_beta 90.00
_cell_angle_gamma 90.00
_space_group_name_H-M_alt 'P 4/n m m'
_space_group_IT_number 129
loop_
_space_group_symop_operation_xyz
'x,y,z'
'-x,-y,-z'
'-y+1/2,x,z'
'y+1/2,-x,-z'
'-x+1/2,-y+1/2,z'
'x+1/2,y+1/2,-z'
'y,-x+1/2,z'
'-y,x+1/2,-z'
'x+1/2,-y,-z'
'-x+1/2,y,z'
'-y,-x,-z'
'y,x,z'
'-x,y+1/2,-z'
'x,-y+1/2,z'
'y+1/2,x+1/2,-z'
'-y+1/2,-x+1/2,z'
loop_
_atom_site_label
_atom_site_type_symbol
_atom_site_fract_x
_atom_site_fract_y
_atom_site_fract_z
_atom_site_occupancy
Pr1 Pr 0.250 0.750 0.000 1
Re1 Re 0.250 0.250 0.391 1
P1 P 0.250 0.250 0.720 1
O1 O 0.250 0.750 0.500 1

<three>
# PrRePO (GGA-PBE, optimized geometry)
# Volume ... 17.3 Å³ per atom
# Magnetization ... 0.01 Bohr magnetons per cell
# Crystal system ... tetragonal
data_PrRePO
_cell_length_a 3.983
_cell_length_b 3.983
_cell_length_c 8.730
_cell_angle_alpha 90.00
_cell_angle_beta 90.00
_cell_angle_gamma 90.00
_space_group_name_H-M_alt 'P 4/n m m'
_space_group_IT_number 129
loop_
_space_group_symop_operation_xyz
'x,y,z'
'-x,-y,-z'
'-y+1/2,x,z'
'y+1/2,-x,-z'
'-x+1/2,-y+1/2,z'
'x+1/2,y+1/2,-z'
'y,-x+1/2,z'
'-y,x+1/2,-z'
'x+1/2,-y,-z'
'-x+1/2,y,z'
'-y,-x,-z'
'y,x,z'
'-x,y+1/2,-z'
'x,-y+1/2,z'
'y+1/2,x+1/2,-z'
'-y+1/2,-x+1/2,z'
loop_
_atom_site_label
_atom_site_type_symbol
_atom_site_fract_x
_atom_site_fract_y
_atom_site_fract_z
_atom_site_occupancy
Pr1 Pr 0.250 0.250 0.141 1
Re1 Re 0.250 0.750 0.500 1
P1 P 0.250 0.250 0.657 1
O1 O 0.250 0.750 0.000 1

What should be chosen as the least stable of them? Choose <two>.